A plane-wave DFT calculation with PBE was carried out for ErBeI after structural relaxation.

Unit cell a=11.599 b=11.599 c=3.949 alpha=90.00 beta=90.00 gamma=159.34
Fractional positions:
Er (0.067, 0.933, 0.750)
Er (0.933, 0.067, 0.250)
Be (0.487, 0.513, 0.750)
Be (0.513, 0.487, 0.250)
I (0.166, 0.834, 0.250)
I (0.834, 0.166, 0.750)

Properties
The value obtained for the total energy is -22.3 eV for the cell shown. The value obtained for the formation energy from raw total energies is -10.2 kcal/mol of atoms.

---

A plane-wave DFT calculation with PBE was carried out for Er4BeI5 after structural relaxation.

Unit cell a=9.747 b=9.747 c=8.751 alpha=102.26 beta=102.26 gamma=23.91
Fractional positions:
Er (0.000, 0.000, 0.206)
Er (0.000, 0.000, 0.794)
Er (0.360, 0.360, 0.928)
Er (0.640, 0.640, 0.072)
Be (0.500, 0.500, 0.000)
I (0.166, 0.166, 0.342)
I (0.175, 0.175, 0.829)
I (0.500, 0.500, 0.500)
I (0.825, 0.825, 0.171)
I (0.834, 0.834, 0.658)

Properties
The value obtained for the total energy is -38.9 eV for the cell shown. The value obtained for the formation energy from raw total energies is -21.2 kcal/mol of atoms.

---

A plane-wave DFT calculation with PBE was carried out for Er7BeI12 after structural relaxation.

Unit cell a=9.593 b=9.593 c=9.593 alpha=107.64 beta=107.64 gamma=107.64
Fractional positions:
Er (0.000, 0.000, 0.000)
Er (0.200, 0.400, 0.469)
Er (0.400, 0.469, 0.200)
Er (0.469, 0.200, 0.400)
Er (0.531, 0.800, 0.600)
Er (0.600, 0.531, 0.800)
Er (0.800, 0.600, 0.531)
Be (0.500, 0.500, 0.500)
I (0.031, 0.345, 0.110)
I (0.110, 0.031, 0.345)
I (0.182, 0.727, 0.576)
I (0.273, 0.424, 0.818)
I (0.345, 0.110, 0.031)
I (0.424, 0.818, 0.273)
I (0.576, 0.182, 0.727)
I (0.655, 0.890, 0.969)
I (0.727, 0.576, 0.182)
I (0.818, 0.273, 0.424)
I (0.890, 0.969, 0.655)
I (0.969, 0.655, 0.890)

Properties
The value obtained for the total energy is -76.3 eV for the cell shown. The value obtained for the formation energy from raw total energies is -25.4 kcal/mol of atoms.

---

A plane-wave DFT calculation with PBE was carried out for Er2BeIn after structural relaxation.

Unit cell a=5.066 b=5.066 c=5.066 alpha=60.00 beta=60.00 gamma=60.00
Fractional positions:
Er (0.250, 0.250, 0.250)
Er (0.750, 0.750, 0.750)
Be (0.000, 0.000, 0.000)
In (0.500, 0.500, 0.500)

Properties
The value obtained for the total energy is -16.1 eV for the cell shown. The calculated formation energy comes out at -0.5 eV per formula unit.

---

A plane-wave DFT calculation with PBE was carried out for ErBeIn after structural relaxation.

Unit cell a=5.710 b=3.430 c=6.857 alpha=90.00 beta=90.11 gamma=90.00
Fractional positions:
Er (0.000, 0.000, 0.000)
Er (0.499, 0.500, 0.396)
Be (0.322, 0.000, 0.684)
Be (0.677, 0.000, 0.684)
In (0.500, 0.500, 0.932)
In (0.999, 0.000, 0.452)

Properties
The value obtained for the total energy is -21.7 eV for the cell shown. The calculated formation energy comes out at 0.2 eV per formula unit.

---

A plane-wave DFT calculation with PBE was carried out for ErBeIn after structural relaxation.

Unit cell a=4.478 b=4.478 c=4.478 alpha=60.00 beta=60.00 gamma=60.00
Fractional positions:
Er (0.000, 0.000, 0.000)
Be (0.750, 0.750, 0.750)
In (0.500, 0.500, 0.500)

Properties
The value obtained for the total energy is -11.6 eV for the cell shown. The calculated formation energy comes out at -0.6 eV per formula unit.

---

A plane-wave DFT calculation with PBE was carried out for Er2BeIn after structural relaxation.

Unit cell a=3.487 b=3.487 c=7.377 alpha=90.00 beta=90.00 gamma=90.00
Fractional positions:
Er (0.000, 0.000, 0.218)
Er (0.000, 0.000, 0.782)
Be (0.500, 0.500, 0.000)
In (0.500, 0.500, 0.500)

Properties
The value obtained for the total energy is -16.4 eV for the cell shown. The calculated formation energy comes out at -0.8 eV per formula unit.

---

A plane-wave DFT calculation with PBE was carried out for ErLuBeIn after structural relaxation.

Unit cell a=5.034 b=5.034 c=5.034 alpha=60.00 beta=60.00 gamma=60.00
Fractional positions:
Er (0.000, 0.000, 0.000)
Lu (0.500, 0.500, 0.500)
Be (0.750, 0.750, 0.750)
In (0.250, 0.250, 0.250)

Properties
The value obtained for the total energy is -16.0 eV for the cell shown. The calculated formation energy comes out at -0.4 eV per formula unit.

---

Total magnetic moment list, top to bottom, in μB/f.u.: 0.00, 0.00, 0.01, 0.00, 0.05, 0.00, 0.00, 0.00